No. 1
Entry from Alexandria via LeMat-Bulk: a crystal of CaInBiSb2 relaxed with PBEsol (SCAN).

The structure in POSCAR format:
```
CaInBiSb2
1.0
5.901 0.000 0.000
0.000 5.901 0.000
0.000 0.000 5.548
Ca In Bi Sb
1 1 1 2
Direct
0.000 0.000 0.000
0.500 0.500 0.000
0.500 0.500 0.500
0.000 0.500 0.500
0.500 0.000 0.500
```

Values from the calculation:
size of the total moment	0.0	Bohr magnetons per cell
space-group type	P4/mmm (123)
raw formation energy	0.34	eV/atom
uncorrected energy	-38.893	eV per atom
DOS(E_F)	2.70	states/eV/f.u.
crystal system	tetragonal

No. 2
Entry from Alexandria via LeMat-Bulk: a crystal of CaBi3Ir relaxed with PBEsol (SCAN).

The structure in POSCAR format:
```
CaBi3Ir
1.0
5.496 0.000 0.000
0.000 5.496 0.000
0.000 0.000 5.496
Ca Bi Ir
1 3 1
Direct
0.000 0.000 0.000
0.000 0.000 0.500
0.000 0.500 0.000
0.500 0.000 0.000
0.500 0.500 0.500
```

Values from the calculation:
size of the total moment	2.5	Bohr magnetons per cell
space-group type	Pm-3m (221)
uncorrected energy	-61.674	eV per atom
DOS(E_F)	4.23	states/eV/f.u.
crystal system	cubic
energy of formation	1.627	eV per atom

No. 3
Entry from Alexandria via LeMat-Bulk: a crystal of NaCaBiIr2 relaxed with PBEsol (SCAN).

The structure in POSCAR format:
```
NaCaBiIr2
1.0
4.758 0.000 0.000
0.000 4.758 0.000
0.000 0.000 4.540
Na Ca Bi Ir
1 1 1 2
Direct
0.000 0.000 0.000
0.000 0.000 0.500
0.500 0.500 0.500
0.000 0.500 0.000
0.500 0.000 0.000
```

Values from the calculation:
size of the total moment	0.0	Bohr magnetons per cell
space-group type	P4/mmm (123)
uncorrected energy	-45.755	eV per atom
DOS(E_F)	1.74	states/eV/f.u.
crystal system	tetragonal
energy of formation	1.176	eV per atom

No. 4
Entry from Alexandria via LeMat-Bulk: a crystal of K2CaScBi relaxed with PBEsol (SCAN).

The structure in POSCAR format:
```
K2CaScBi
1.0
6.015 0.000 0.000
0.000 6.015 0.000
0.000 0.000 6.042
K Ca Sc Bi
2 1 1 1
Direct
0.000 0.500 0.000
0.500 0.000 0.000
0.000 0.000 0.500
0.000 0.000 0.000
0.500 0.500 0.500
```

Values from the calculation:
size of the total moment	2.0	Bohr magnetons per cell
space-group type	P4/mmm (123)
uncorrected energy	-23.018	eV per atom
DOS(E_F)	4.50	states/eV/f.u.
crystal system	tetragonal
energy of formation	0.809	eV per atom

No. 5
Entry from Alexandria via LeMat-Bulk: a crystal of Li2CaLaBi relaxed with PBEsol (SCAN).

The structure in POSCAR format:
```
Li2CaLaBi
1.0
5.273 0.000 0.000
0.000 5.273 0.000
0.000 0.000 5.881
Li Ca La Bi
2 1 1 1
Direct
0.000 0.500 0.000
0.500 0.000 0.000
0.000 0.000 0.500
0.000 0.000 0.000
0.500 0.500 0.500
```

Values from the calculation:
size of the total moment	4.0	Bohr magnetons per cell
space-group type	P4/mmm (123)
uncorrected energy	-26.445	eV per atom
DOS(E_F)	2.23	states/eV/f.u.
crystal system	tetragonal
energy of formation	0.781	eV per atom

No. 6
Entry from Alexandria via LeMat-Bulk: a crystal of LiCaBiSb2 relaxed with PBEsol (SCAN).

The structure in POSCAR format:
```
LiCaBiSb2
1.0
5.640 0.000 0.000
0.000 5.640 0.000
0.000 0.000 5.091
Li Ca Bi Sb
1 1 1 2
Direct
0.000 0.000 0.000
0.000 0.000 0.500
0.500 0.500 0.000
0.000 0.500 0.500
0.500 0.000 0.500
```

Values from the calculation:
size of the total moment	0.0	Bohr magnetons per cell
space-group type	P4/mmm (123)
raw formation energy	0.50	eV/atom
uncorrected energy	-32.534	eV per atom
DOS(E_F)	2.73	states/eV/f.u.
crystal system	tetragonal

No. 7
Entry from Alexandria via LeMat-Bulk: a crystal of Li2CaTiBi relaxed with PBEsol (SCAN).

The structure in POSCAR format:
```
Li2CaTiBi
1.0
4.995 0.000 0.000
0.000 4.995 0.000
0.000 0.000 5.523
Li Ca Ti Bi
2 1 1 1
Direct
0.000 0.500 0.000
0.500 0.000 0.000
0.000 0.000 0.500
0.000 0.000 0.000
0.500 0.500 0.500
```

Values from the calculation:
size of the total moment	3.9	Bohr magnetons per cell
space-group type	P4/mmm (123)
uncorrected energy	-21.163	eV per atom
DOS(E_F)	4.01	states/eV/f.u.
crystal system	tetragonal
energy of formation	0.647	eV per atom

No. 8
Entry from Alexandria via LeMat-Bulk: a crystal of Ca3MgBi relaxed with PBEsol (SCAN).

The structure in POSCAR format:
```
Ca3MgBi
1.0
5.750 0.000 0.000
0.000 5.750 0.000
0.000 0.000 5.750
Ca Mg Bi
3 1 1
Direct
0.000 0.000 0.500
0.000 0.500 0.000
0.500 0.000 0.000
0.000 0.000 0.000
0.500 0.500 0.500
```

Values from the calculation:
size of the total moment	0.0	Bohr magnetons per cell
space-group type	Pm-3m (221)
uncorrected energy	-22.330	eV per atom
DOS(E_F)	5.28	states/eV/f.u.
crystal system	cubic
energy of formation	0.178	eV per atom

No. 9
Entry from Alexandria via LeMat-Bulk: a crystal of Ca2MgBi relaxed with PBEsol (SCAN).

The structure in POSCAR format:
```
Ca2MgBi
1.0
-2.449 2.449 11.132
2.449 -2.449 11.132
2.449 2.449 -11.132
Ca Mg Bi
4 2 2
Direct
0.113 0.625 0.988
0.375 0.363 0.488
0.637 0.125 0.012
0.875 0.887 0.512
0.250 0.750 0.500
0.500 0.500 0.000
0.000 0.000 0.000
0.750 0.250 0.500
```

Values from the calculation:
size of the total moment	0.0	Bohr magnetons per cell
space-group type	I-42d (122)
uncorrected energy	-25.766	eV per atom
DOS(E_F)	2.40	states/eV/f.u.
crystal system	tetragonal
energy of formation	-0.046	eV per atom

No. 10
Entry from Alexandria via LeMat-Bulk: a crystal of Ca2MgBi relaxed with PBEsol (SCAN).

The structure in POSCAR format:
```
Ca2MgBi
1.0
0.000 3.906 3.906
3.906 0.000 3.906
3.906 3.906 0.000
Ca Mg Bi
2 1 1
Direct
0.250 0.250 0.250
0.750 0.750 0.750
0.000 0.000 0.000
0.500 0.500 0.500
```

Values from the calculation:
size of the total moment	0.0	Bohr magnetons per cell
space-group type	Fm-3m (225)
uncorrected energy	-26.183	eV per atom
DOS(E_F)	3.19	states/eV/f.u.
crystal system	cubic
energy of formation	-0.463	eV per atom

No. 11
Entry from Alexandria via LeMat-Bulk: a crystal of CaMnBi2P relaxed with PBEsol (SCAN).

The structure in POSCAR format:
```
CaMnBi2P
1.0
5.661 0.000 0.000
0.000 5.661 0.000
0.000 0.000 5.042
Ca Mn Bi P
1 1 2 1
Direct
0.000 0.000 0.000
0.500 0.500 0.500
0.000 0.500 0.000
0.500 0.000 0.000
0.000 0.000 0.500
```

Values from the calculation:
size of the total moment	5.2	Bohr magnetons per cell
space-group type	P4/mmm (123)
uncorrected energy	-38.245	eV per atom
DOS(E_F)	2.95	states/eV/f.u.
crystal system	tetragonal
energy of formation	0.850	eV per atom

No. 12
Entry from Alexandria via LeMat-Bulk: a crystal of CaMnBi2Pd relaxed with PBEsol (SCAN).

The structure in POSCAR format:
```
CaMnBi2Pd
1.0
5.331 0.000 0.000
0.000 5.331 0.000
0.000 0.000 5.119
Ca Mn Bi Pd
1 1 2 1
Direct
0.000 0.000 0.000
0.500 0.500 0.000
0.000 0.500 0.500
0.500 0.000 0.500
0.000 0.000 0.500
```

Values from the calculation:
size of the total moment	5.0	Bohr magnetons per cell
space-group type	P4/mmm (123)
uncorrected energy	-43.489	eV per atom
DOS(E_F)	2.75	states/eV/f.u.
crystal system	tetragonal
energy of formation	0.082	eV per atom

Q: Among the records above, which one has the highest DOS(E_F)?
A: Ca3MgBi